(1)
Computed, not measured: a relaxed KRe2Mo crystal at the PBEsol level of DFT.

The space group is C2/m (No. 12) and the conventional cell measures 5.533, 9.628 and 2.602 Å, with angles of 90.00, 107.12 and 90.00 degrees. Symmetry generates all atoms from K at (0.000, 0.000, 0.000), Re at (0.250, 0.250, 0.500) and Mo at (0.000, 0.500, 0.000).

The calculation puts the calculated formation energy at 1.456 eV/atom. For the density of states at the Fermi level, the calculation gives 0.99 states/eV/atom. As for the energy above the most stable polymorph in this dataset: 0.657 eV per atom.



(2)
Computed, not measured: a relaxed K3ReMo crystal at the PBEsol level of DFT.

The space group is Pm-3m (No. 221) and the conventional cell measures 6.203, 6.203 and 6.203 Å, with angles of 90.00, 90.00 and 90.00 degrees. Symmetry generates all atoms from K at (0.000, 0.000, 0.500), Re at (0.000, 0.000, 0.000) and Mo at (0.500, 0.500, 0.500).

The calculation puts the calculated formation energy at 2.591 eV/atom. For the density of states at the Fermi level, the calculation gives 2.32 states/eV/atom.